No. 1
DFT (GGA-PBE) results for HoH7C8SO9 after structural relaxation.

Calculated values
Space-group type: P-1 (2)
Final energy (eV for the cell shown): -351.435

Cell and atoms, written as extended XYZ:
```
52
Lattice="6.2375 0.0000 0.0000 -2.6253 8.0902 0.0000 -1.8014 -0.7832 10.3141" Properties=species:S:1:pos:R:3 pbc="T T T"
Ho 0.1070 1.9019 1.1826
Ho 1.7039 5.4051 9.1315
H -0.2419 0.8005 5.7226
H -0.7821 7.6531 1.1352
H -0.9706 4.5726 8.1215
H -0.5317 4.7286 6.0115
H 0.2440 4.4905 3.6654
H -0.2304 3.3160 8.7800
H -0.9739 6.6745 8.4562
H 2.7847 0.6325 1.8578
H 2.0412 3.9910 1.5341
H 1.5668 2.8166 6.6487
H 2.3426 2.5784 4.3025
H 2.7815 2.7344 2.1926
H 2.5930 -0.3461 9.1789
H 2.0527 6.5065 4.5915
C -3.0629 5.6035 6.7791
C -1.7113 1.2606 7.2267
C -1.2357 1.1915 5.9258
C -2.4189 5.6295 5.4448
C -1.4845 5.4275 2.8090
C -0.9893 5.1817 1.4159
C -1.1529 5.0913 5.1939
C -0.7129 4.9637 3.8821
C 2.5237 2.3433 6.4320
C 2.9638 2.2157 5.1202
C 2.8002 2.1253 8.8981
C 3.2954 1.8796 7.5051
C 4.2298 1.6775 4.8693
C 3.0465 6.1155 4.3883
C 3.5222 6.0465 3.0873
C 4.8738 1.7035 3.5350
S -0.5721 0.6964 8.4724
S 2.3829 6.6106 1.8417
O -1.1271 -0.4864 9.1634
O -2.3969 5.3731 7.8556
O -1.1456 6.0903 0.5308
O -0.1035 1.5237 3.4697
O -0.4420 4.0731 1.1915
O -0.5084 1.7896 9.4852
O 0.6727 0.4351 7.7893
O 1.9254 0.5161 1.4054
O -0.0762 4.1532 8.2715
O 1.8870 3.1538 2.0425
O -0.1145 6.7909 8.9087
O 1.1382 6.8719 2.5248
O 2.3192 5.5174 0.8289
O 2.2529 3.2340 9.1226
O 1.9143 5.7833 6.8444
O 2.9564 1.2167 9.7832
O 4.2078 1.9339 2.4585
O 2.9380 7.7934 1.1506
```



No. 2
DFT (GGA-PBE) results for Mo2H10C10I7 after structural relaxation.

Calculated values
Space-group type: Pbam (55)
Final energy (eV for the cell shown): -320.329

Cell and atoms, written as extended XYZ:
```
58
Lattice="8.7029 0.0000 0.0000 0.0000 15.0027 0.0000 0.0000 0.0000 8.3981" Properties=species:S:1:pos:R:3 pbc="T T T"
Mo 0.9646 0.9655 0.0000
Mo 3.3868 8.4668 0.0000
Mo 5.3161 6.5358 0.0000
Mo 7.7382 14.0372 0.0000
H 0.6085 8.6220 1.3584
H 0.6085 8.6220 7.0397
H 0.6876 3.9413 0.0000
H 1.8669 2.8576 2.1968
H 1.8669 2.8576 6.2013
H 2.4845 10.3589 2.1968
H 2.4845 10.3589 6.2013
H 3.6639 11.4427 0.0000
H 3.7429 1.1206 1.3584
H 3.7429 1.1206 7.0397
H 4.9600 13.8820 1.3584
H 4.9600 13.8820 7.0397
H 5.0390 3.5600 0.0000
H 6.2183 4.6437 2.1968
H 6.2183 4.6437 6.2013
H 6.8360 12.1451 2.1968
H 6.8360 12.1451 6.2013
H 8.0153 11.0613 0.0000
H 8.0943 6.3807 1.3584
H 8.0943 6.3807 7.0397
C 1.2579 9.2068 0.7105
C 1.2579 9.2068 7.6876
C 1.4567 3.1754 0.0000
C 2.0852 2.6092 1.1605
C 2.0852 2.6092 7.2376
C 2.2662 10.1106 1.1605
C 2.2662 10.1106 7.2376
C 2.8947 10.6768 0.0000
C 3.0936 1.7054 0.7105
C 3.0936 1.7054 7.6876
C 5.6093 13.2972 0.7105
C 5.6093 13.2972 7.6876
C 5.8081 4.3259 0.0000
C 6.4367 4.8921 1.1605
C 6.4367 4.8921 7.2376
C 6.6176 12.3934 1.1605
C 6.6176 12.3934 7.2376
C 7.2462 11.8272 0.0000
C 7.4450 5.7959 0.7105
C 7.4450 5.7959 7.6876
I 0.0000 7.5013 4.1991
I 0.2282 4.5608 4.1991
I 1.2154 13.7922 1.7338
I 1.2154 13.7922 6.6643
I 3.1360 6.2909 1.7338
I 3.1360 6.2909 6.6643
I 4.1232 12.0621 4.1991
I 4.3514 0.0000 4.1991
I 4.5796 2.9405 4.1991
I 5.5669 8.7118 1.7338
I 5.5669 8.7118 6.6643
I 7.4874 1.2104 1.7338
I 7.4874 1.2104 6.6643
I 8.4747 10.4419 4.1991
```



No. 3
DFT (GGA-PBE) results for H20PtC8I3N after structural relaxation.

Calculated values
Space-group type: P-1 (2)
Final energy (eV for the cell shown): -332.685

Cell and atoms, written as extended XYZ:
```
66
Lattice="7.6397 0.0000 0.0000 3.3906 8.1701 0.0000 1.3246 3.6927 12.2020" Properties=species:S:1:pos:R:3 pbc="T T T"
H 1.1024 2.6314 4.0194
H 1.0435 1.8439 1.6133
H 3.6815 8.5573 11.5758
H 2.1931 3.8838 2.6851
H 4.7186 9.3884 5.0604
H 2.1477 1.9994 0.2187
H 2.3417 2.6569 5.2907
H 3.3351 3.9208 1.3590
H 5.7028 8.8594 2.8989
H 6.0507 9.8693 8.4604
H 3.8248 3.7996 4.2093
H 6.4609 10.2873 12.0123
H 6.1979 9.0319 10.7946
H 6.2452 8.5839 7.2553
H 7.3193 11.0717 9.8228
H 7.2027 10.0755 7.1245
H 6.9673 8.9305 4.1129
H 4.9638 3.9618 2.8848
H 3.7501 0.8958 1.1819
H 4.8374 2.9879 0.2064
H 7.5175 8.8750 11.9956
H 8.6048 10.9671 11.0201
H 7.3911 7.9011 9.3172
H 5.3876 2.9324 8.0891
H 5.1522 1.7873 5.0775
H 5.0356 0.7912 2.3792
H 6.1097 3.2790 4.9468
H 6.1570 2.8310 1.4074
H 5.8941 1.5755 0.1897
H 8.5301 8.0633 7.9927
H 6.3042 1.9935 3.7416
H 6.6521 3.0034 9.3031
H 9.0198 7.9421 10.8430
H 10.0133 9.2059 6.9113
H 10.2072 9.8635 11.9833
H 7.6363 2.4744 7.1416
H 10.1618 7.9791 9.5169
H 8.6734 3.3056 0.6262
H 11.3114 10.0189 10.5888
H 11.2525 9.2315 8.1826
Pt 2.7975 5.6011 7.9553
Pt 9.5575 6.2618 4.2467
C 1.6894 2.5387 1.0590
C 1.8592 2.0240 4.5338
C 2.6921 3.2489 1.9399
C 2.8364 1.3712 3.5815
C 6.7861 9.3471 7.8326
C 6.9744 9.5781 11.3490
C 4.5068 3.2313 3.5638
C 7.8906 10.3673 10.4418
C 4.4643 1.4956 1.7602
C 7.8482 8.6316 8.6382
C 5.3805 2.2847 0.8530
C 5.5688 2.5158 4.3694
C 9.5185 10.4917 8.6205
C 9.6628 8.6139 10.2622
C 10.4957 9.8389 7.6682
C 10.6655 9.3242 11.1430
I 3.2561 7.2231 2.2053
I 4.0189 6.4676 5.8087
I 4.9621 5.9906 9.3898
I 7.3928 5.8723 2.8122
I 8.3361 5.3953 6.3933
I 9.0988 4.6398 9.9967
N 3.6272 2.3344 2.7109
N 8.7277 9.5285 9.4911
```



No. 4
DFT (GGA-PBE) results for H10PtC14I2N2 after structural relaxation.

Calculated values
Space-group type: C2/c (15)
Final energy (eV for the cell shown): -375.443

Cell and atoms, written as extended XYZ:
```
58
Lattice="5.5866 -10.1786 0.0000 5.5866 10.1786 0.0000 -1.1531 0.0000 7.1529" Properties=species:S:1:pos:R:3 pbc="T T T"
H 4.7218 9.9394 5.3647
H 3.5503 6.7031 3.0695
H 2.5902 5.1210 5.6549
H 0.8944 0.9976 4.1154
H 2.5862 2.6161 5.6919
H 1.4709 -0.9976 0.5389
H 4.7218 6.3422 5.3647
H 7.0463 6.7031 0.5069
H 6.8533 5.1210 5.0745
H 3.1627 -2.6161 2.1154
H 6.8573 2.6161 5.0375
H 3.1667 -5.1210 2.0784
H 2.9738 -6.7031 6.6460
H 5.2983 -6.3422 1.7882
H 8.5491 0.9976 6.6139
H 7.4339 -2.6161 1.4610
H 9.1257 -0.9976 3.0375
H 7.4299 -5.1210 1.4980
H 6.4698 -6.7031 4.0834
H 5.2983 -9.9394 1.7882
Pt 5.2983 2.0321 1.7882
Pt 4.7218 -2.0321 5.3647
C 0.1197 1.5434 4.6574
C 5.2983 9.3275 1.7882
C 4.3112 7.2458 2.5083
C 0.6962 -1.5434 1.0809
C 3.5179 4.5600 5.5245
C 5.2983 6.5457 1.7882
C 6.2854 7.2458 1.0682
C 3.5097 3.1701 5.5345
C 4.7218 5.2503 5.3647
C 5.2983 5.1321 1.7882
C 4.7218 2.4767 5.3647
C 5.9256 4.5600 5.2049
C 4.7218 1.0635 5.3647
C 5.9338 3.1701 5.1948
C 4.0863 -3.1701 1.9581
C 5.2983 -1.0635 1.7882
C 4.0944 -4.5600 1.9480
C 5.2983 -2.4767 1.7882
C 4.7218 -5.1321 5.3647
C 5.2983 -5.2503 1.7882
C 6.5103 -3.1701 1.6184
C 3.7346 -7.2458 6.0847
C 4.7218 -6.5457 5.3647
C 6.5022 -4.5600 1.6284
C 9.3238 1.5434 6.0719
C 5.7089 -7.2458 4.6446
C 4.7218 -9.3275 5.3647
C 9.9004 -1.5434 2.4955
I 2.6609 2.0095 1.5862
I 2.0844 -2.0095 5.1627
I 7.9357 2.0095 1.9902
I 7.3592 -2.0095 5.5667
N 5.2983 3.9654 1.7882
N 5.2983 0.1011 1.7882
N 4.7218 -0.1011 5.3647
N 4.7218 -3.9654 5.3647
```



No. 5
DFT (GGA-PBE) results for ZnH8C2S2I2N4 after structural relaxation.

Calculated values
Space-group type: P2_1/c (14)
Final energy (eV for the cell shown): -389.020

Cell and atoms, written as extended XYZ:
```
76
Lattice="10.3922 0.0000 0.0000 0.0000 7.2774 0.0000 -0.4644 0.0000 14.8391" Properties=species:S:1:pos:R:3 pbc="T T T"
Zn 2.3106 0.0889 1.6887
Zn 2.0784 3.5498 9.1082
Zn 7.8494 3.7276 5.7309
Zn 7.6172 7.1884 13.1505
H 0.4321 3.7714 1.7258
H 0.1999 7.1446 9.1454
H 0.5381 0.9562 6.6732
H 0.3059 2.6825 14.0928
H 1.4180 4.1998 4.5186
H 1.1859 6.7163 11.9381
H 2.6350 1.3637 5.8536
H 2.4029 2.2750 13.2732
H 3.0172 1.0543 4.1756
H 2.7850 2.5844 11.5951
H 3.0168 4.8423 4.1258
H 2.7846 6.0737 11.5454
H 3.8258 5.4329 7.5508
H 4.0580 5.4832 0.1313
H 4.4779 5.3901 5.9309
H 4.2458 5.5260 13.3504
H 5.6820 1.7514 1.4887
H 5.4499 1.8873 8.9082
H 5.8698 1.7942 14.7079
H 6.1020 1.8445 7.2883
H 7.1432 1.2036 3.2938
H 6.9110 2.4351 10.7133
H 7.1428 4.6930 3.2440
H 6.9106 6.2230 10.6636
H 7.5250 5.0024 1.5660
H 7.2928 5.9137 8.9855
H 8.7420 0.5611 2.9010
H 8.5098 3.0776 10.3206
H 9.6219 4.5948 0.7463
H 9.3897 6.3212 8.1659
H 9.7279 0.1328 5.6938
H 9.4957 3.5059 13.1133
C 1.1125 0.5518 4.7447
C 0.8803 3.0869 12.1643
C 2.5149 4.7871 6.1239
C 2.2827 6.1289 13.5435
C 7.6451 1.1484 1.2956
C 7.4129 2.4903 8.7152
C 9.0475 4.1904 2.6748
C 8.8153 6.7256 10.0944
S 0.3499 3.7704 10.6796
S 0.5821 7.1457 3.2600
S 1.1802 4.4769 7.1828
S 0.9480 6.4392 14.6023
S 8.9798 0.8382 0.2368
S 8.7476 2.8005 7.6564
S 9.3457 0.1317 11.5791
S 9.5779 3.5070 4.1595
I 2.6360 1.0036 8.6827
I 2.8682 2.6351 1.2632
I 4.3042 4.6041 10.0527
I 4.5364 6.3120 2.6331
I 5.3914 0.9654 12.2060
I 5.6236 2.6733 4.7865
I 7.0596 4.6423 13.5760
I 7.2918 6.2737 6.1564
N 0.2589 0.5635 5.7723
N 0.0267 3.0752 13.1918
N 2.3240 1.0802 4.9202
N 2.0918 2.5585 12.3398
N 2.3344 4.5357 4.8299
N 2.1023 6.3804 12.2495
N 3.6710 5.2899 6.5513
N 3.4388 5.6261 13.9708
N 6.4890 1.6513 0.8683
N 6.2568 1.9874 8.2878
N 7.8255 0.8970 2.5897
N 7.5934 2.7417 10.0092
N 7.8360 4.7189 2.4993
N 7.6038 6.1972 9.9189
N 9.9011 4.2022 1.6473
N 9.6689 6.7139 9.0669
```



No. 6
DFT (GGA-PBE) results for ZnH6C10I2N6 after structural relaxation.

Calculated values
Space-group type: Cmc2_1 (36)
Final energy (eV for the cell shown): -329.739

Cell and atoms, written as extended XYZ:
```
50
Lattice="7.8207 -3.3565 0.0000 7.8207 3.3565 0.0000 0.0000 0.0000 14.4110" Properties=species:S:1:pos:R:3 pbc="T T T"
Zn 7.8207 2.5718 7.2055
Zn 7.8207 -2.5718 0.0000
H 1.5836 0.5929 5.0033
H 6.2728 2.4269 1.9462
H 1.5836 -0.5929 12.2088
H 4.5521 0.5733 1.8195
H 9.3685 2.4269 1.9462
H 4.5521 -0.5733 9.0250
H 11.0892 0.5733 1.8195
H 6.2728 -2.4269 9.1517
H 11.0892 -0.5733 9.0250
H 14.0577 0.5929 5.0033
H 9.3685 -2.4269 9.1517
H 14.0577 -0.5929 12.2088
C 5.8623 2.2688 13.1080
C 5.8808 2.0714 0.9913
C 4.8990 1.2599 13.0604
C 4.3446 0.8760 11.7987
C 4.9255 1.0546 0.9143
C 9.7790 2.2688 13.1080
C 9.7605 2.0714 0.9913
C 4.3446 -0.8760 4.5932
C 4.9255 -1.0546 8.1198
C 10.7423 1.2599 13.0604
C 4.8990 -1.2599 5.8549
C 10.7158 1.0546 0.9143
C 11.2967 0.8760 11.7987
C 5.8808 -2.0714 8.1968
C 5.8623 -2.2688 5.9025
C 10.7158 -1.0546 8.1198
C 11.2967 -0.8760 4.5932
C 10.7423 -1.2599 5.8549
C 9.7605 -2.0714 8.1968
C 9.7790 -2.2688 5.9025
I 7.8207 1.5645 9.5242
I 7.8207 1.2468 5.0439
I 7.8207 -1.2468 12.2494
I 7.8207 -1.5645 2.3187
N 6.3394 2.6663 14.2934
N 3.8654 0.5969 10.7733
N 4.4253 0.6437 14.1587
N 9.3019 2.6663 14.2934
N 3.8654 -0.5969 3.5678
N 4.4253 -0.6437 6.9532
N 11.2160 0.6437 14.1587
N 11.7759 0.5969 10.7733
N 6.3394 -2.6663 7.0879
N 11.2160 -0.6437 6.9532
N 11.7759 -0.5969 3.5678
N 9.3019 -2.6663 7.0879
```



What is the formula in the fourth record? H10PtC14I2N2



The lowest final energy belongs to which entry? ZnH8C2S2I2N4



Which formula does entry 1 have? HoH7C8SO9